The following is a DFT calculation (GGA-PBE) of crystalline CdRe2Se4 at its relaxed geometry.

Computed properties:
The calculation puts the total magnetization at 0.459 μB per atom. As for the calculated total energy: -4.855 eV/atom. For the formation energy from raw total energies, the calculation gives 0.82 eV per atom.

Unit cell a=7.596 b=7.596 c=7.596 alpha=139.72 beta=139.72 gamma=58.27
Fractional positions:
Cd1 0.000 0.000 0.000
Re1 0.409 0.409 0.000
Re2 0.591 0.591 0.000
Se1 0.000 0.500 0.500
Se2 0.235 0.235 0.000
Se3 0.500 0.000 0.500
Se4 0.765 0.765 0.000